The following is a GGA-PBEsol calculation of an optimized crystal structure of MgFe2Pb, from Alexandria via LeMat-Bulk.

Unit cell a=3.992 b=3.992 c=4.024 alpha=90.00 beta=90.00 gamma=90.00
Sites, in units of the cell vectors:
Mg: 0.000 0.000 0.000
Fe: 0.000 0.500 0.500
Fe: 0.500 0.000 0.500
Pb: 0.500 0.500 0.000

magnetization: 4.898 Bohr magnetons per cell
calculated formation energy: 435.6 meV/atom